# 1
# Tc4Hg3

A relaxed structure of Tc4Hg3 (PBE-GGA, Alexandria via LeMat-Bulk).

The calculation puts the density at 13.2 g/cm3. The energy above the most stable polymorph in this dataset comes out at 0.0 meV/atom. The value obtained for the calculated total energy is -5.79 eV/atom. For the volume, the calculation gives 250.4 Å³ per cell.

The space group is I4/mmm (No. 139) and the conventional cell measures 2.964, 2.964 and 28.506 Å, with angles of 90.00, 90.00 and 90.00 degrees. The inequivalent atoms are Tc at (0.000, 0.000, 0.077), Tc at (0.000, 0.000, 0.373), Hg at (0.000, 0.000, 0.204) and Hg at (0.000, 0.000, 0.500).

# 2
# Tc5Hg

A relaxed structure of Tc5Hg (PBE-GGA, Alexandria via LeMat-Bulk).

The calculation puts the density at 11.3 g/cm3. The energy above the most stable polymorph in this dataset comes out at 406.0 meV/atom. The value obtained for the calculated total energy is -8.09 eV/atom. For the volume, the calculation gives 101.8 Å³ per cell.

The space group is P6/mmm (No. 191) and the conventional cell measures 5.0380, 5.0380 and 4.6299 Å, with angles of 90.00, 90.00 and 120.00 degrees. The inequivalent atoms are Tc at (0.0000, 0.5000, 0.0000), Tc at (0.3333, 0.6667, 0.5000) and Hg at (0.0000, 0.0000, 0.5000).

# 3
# TcHg5

A relaxed structure of TcHg5 (PBE-GGA, Alexandria via LeMat-Bulk).

The calculation puts the density at 13.4 g/cm3. The energy above the most stable polymorph in this dataset comes out at 42.3 meV/atom. The value obtained for the calculated total energy is -1.59 eV/atom. For the volume, the calculation gives 136.0 Å³ per cell.

The space group is P-6m2 (No. 187) and the conventional cell measures 3.0462, 3.0462 and 16.9259 Å, with angles of 90.00, 90.00 and 120.00 degrees. The inequivalent atoms are Tc at (0.0000, 0.0000, 0.0000), Hg at (0.0000, 0.0000, 0.3118), Hg at (0.3333, 0.6667, 0.1365) and Hg at (0.3333, 0.6667, 0.5000).

# 4
# TcHg2

A relaxed structure of TcHg2 (PBE-GGA, Alexandria via LeMat-Bulk).

The calculation puts the density at 14.1 g/cm3. The energy above the most stable polymorph in this dataset comes out at 343.6 meV/atom. The value obtained for the calculated total energy is -3.04 eV/atom. For the volume, the calculation gives 117.3 Å³ per cell.

The space group is P-6m2 (No. 187) and the conventional cell measures 3.0049, 3.0049 and 15.0044 Å, with angles of 90.00, 90.00 and 120.00 degrees. The inequivalent atoms are Tc at (0.0000, 0.0000, 0.1558), Hg at (0.0000, 0.0000, 0.5000), Hg at (0.3333, 0.6667, 0.0000) and Hg at (0.3333, 0.6667, 0.3117).

# 5
# Tc5Hg4

A relaxed structure of Tc5Hg4 (PBE-GGA, Alexandria via LeMat-Bulk).

The calculation puts the density at 13.5 g/cm3. The energy above the most stable polymorph in this dataset comes out at 362.5 meV/atom. The value obtained for the calculated total energy is -5.00 eV/atom. For the volume, the calculation gives 317.1 Å³ per cell.

The space group is P6_3/mcm (No. 193) and the conventional cell measures 8.1380, 8.1380 and 5.5286 Å, with angles of 90.00, 90.00 and 120.00 degrees. The inequivalent atoms are Tc at (0.0000, 0.3182, 0.2500), Tc at (0.3333, 0.6667, 0.0000), Hg at (0.0000, 0.0000, 0.0000) and Hg at (0.0000, 0.3561, 0.7500).

# 6
# TcHg7

A relaxed structure of TcHg7 (PBE-GGA, Alexandria via LeMat-Bulk).

The calculation puts the density at 14.5 g/cm3. The value obtained for the calculated total energy is -1.21 eV/atom. For the volume, the calculation gives 688.7 Å³ per cell.

The space group is Fm-3m (No. 225) and the conventional cell measures 8.831, 8.831 and 8.831 Å, with angles of 90.00, 90.00 and 90.00 degrees. The inequivalent atoms are Tc at (0.000, 0.000, 0.000), Hg at (0.000, 0.000, 0.500) and Hg at (0.000, 0.250, 0.250).

# 7
# Tc2Hg

A relaxed structure of Tc2Hg (PBE-GGA, Alexandria via LeMat-Bulk).

The calculation puts the density at 10.4 g/cm3. The energy above the most stable polymorph in this dataset comes out at 1180.4 meV/atom. The value obtained for the calculated total energy is -5.58 eV/atom. For the volume, the calculation gives 254.2 Å³ per cell.

The space group is Pa-3 (No. 205) and the conventional cell measures 6.335, 6.335 and 6.335 Å, with angles of 90.00, 90.00 and 90.00 degrees. The inequivalent atoms are Tc at (0.098, 0.098, 0.098) and Hg at (0.000, 0.000, 0.500).

# 8
# TcHg5

A relaxed structure of TcHg5 (PBE-GGA, Alexandria via LeMat-Bulk).

The calculation puts the density at 13.5 g/cm3. The energy above the most stable polymorph in this dataset comes out at 74.1 meV/atom. The value obtained for the calculated total energy is -1.56 eV/atom. For the volume, the calculation gives 271.5 Å³ per cell.

The space group is Cm (No. 8) and the conventional cell measures 10.931, 2.991 and 8.407 Å, with angles of 90.00, 98.98 and 90.00 degrees. The inequivalent atoms are Tc at (0.000, 0.000, 0.000), Hg at (0.156, 0.500, 0.232), Hg at (0.220, 0.000, 0.569), Hg at (0.268, 0.000, 0.952), Hg at (0.427, 0.500, 0.340) and Hg at (0.499, 0.000, 0.711).

# 9
# TcHg2

A relaxed structure of TcHg2 (PBE-GGA, Alexandria via LeMat-Bulk).

The calculation puts the density at 11.0 g/cm3. The energy above the most stable polymorph in this dataset comes out at 454.4 meV/atom. The value obtained for the calculated total energy is -2.93 eV/atom. For the volume, the calculation gives 150.3 Å³ per cell.

The space group is Pnnm (No. 58) and the conventional cell measures 7.474, 7.488 and 2.685 Å, with angles of 90.00, 90.00 and 90.00 degrees. The inequivalent atoms are Tc at (0.000, 0.000, 0.000) and Hg at (0.237, 0.237, 0.500).

# 10
# Tc2Hg

A relaxed structure of Tc2Hg (PBE-GGA, Alexandria via LeMat-Bulk).

The calculation puts the density at 10.8 g/cm3. The energy above the most stable polymorph in this dataset comes out at 1508.9 meV/atom. The value obtained for the calculated total energy is -5.25 eV/atom. For the volume, the calculation gives 60.9 Å³ per cell.

The space group is P4/mmm (No. 123) and the conventional cell measures 4.730, 4.730 and 2.722 Å, with angles of 90.00, 90.00 and 90.00 degrees. The inequivalent atoms are Tc at (0.000, 0.500, 0.000) and Hg at (0.000, 0.000, 0.500).

# 11
# Tc2Hg

A relaxed structure of Tc2Hg (PBE-GGA, Alexandria via LeMat-Bulk).

The calculation puts the density at 12.9 g/cm3. The energy above the most stable polymorph in this dataset comes out at 26.4 meV/atom. The value obtained for the calculated total energy is -6.73 eV/atom. For the volume, the calculation gives 102.1 Å³ per cell.

The space group is I4/mmm (No. 139) and the conventional cell measures 2.960, 2.960 and 11.652 Å, with angles of 90.00, 90.00 and 90.00 degrees. The inequivalent atoms are Tc at (0.000, 0.000, 0.189) and Hg at (0.000, 0.000, 0.500).

# 12
# TcHg2

A relaxed structure of TcHg2 (PBE-GGA, Alexandria via LeMat-Bulk).

The calculation puts the density at 13.3 g/cm3. The energy above the most stable polymorph in this dataset comes out at 249.2 meV/atom. The value obtained for the calculated total energy is -3.14 eV/atom. For the volume, the calculation gives 249.6 Å³ per cell.

The space group is I4/mcm (No. 140) and the conventional cell measures 7.053, 7.053 and 5.017 Å, with angles of 90.00, 90.00 and 90.00 degrees. The inequivalent atoms are Tc at (0.000, 0.000, 0.250) and Hg at (0.169, 0.331, 0.000).

# 13
# TcHg2

A relaxed structure of TcHg2 (PBE-GGA, Alexandria via LeMat-Bulk).

The calculation puts the density at 14.3 g/cm3. The energy above the most stable polymorph in this dataset comes out at 352.5 meV/atom. The value obtained for the calculated total energy is -3.04 eV/atom. For the volume, the calculation gives 58.0 Å³ per cell.

The space group is P-3m1 (No. 164) and the conventional cell measures 3.0021, 3.0021 and 7.4260 Å, with angles of 90.00, 90.00 and 120.00 degrees. The inequivalent atoms are Tc at (0.0000, 0.0000, 0.0000) and Hg at (0.3333, 0.6667, 0.6864).